Record 1
A relaxed Sm2NiPt crystal. Source: Alexandria, functional GGA-PBE.

Geometry as extended XYZ:
```
8
Lattice="5.635 0.000 0.000 0.000 4.385 0.000 -2.683 0.000 7.307" Properties=species:S:1:pos:R:3 pbc="T T T"
Sm 0.080 1.096 3.153
Sm -1.236 1.096 6.797
Sm 4.189 3.289 0.511
Sm 2.873 3.289 4.155
Ni 0.036 3.289 5.181
Ni 2.916 1.096 2.126
Pt 1.364 3.289 1.550
Pt 1.589 1.096 5.758
```

## Properties
D(E_F): 4.91 states/eV/cell
VASP energy: -24.42 eV per formula unit
space group: P2_1/m (11)

***

Record 2
A relaxed Sm8NiPt2 crystal. Source: Alexandria, functional GGA-PBE.

Geometry as extended XYZ:
```
11
Lattice="4.338 -6.199 0.000 4.338 6.199 0.000 -2.208 0.000 5.946" Properties=species:S:1:pos:R:3 pbc="T T T"
Sm 0.000 0.000 0.000
Sm -0.043 1.647 3.439
Sm 2.691 2.406 1.172
Sm -0.043 -1.647 3.439
Sm 3.111 1.661 4.923
Sm 2.691 -2.406 1.172
Sm 3.111 -1.661 4.923
Sm 5.337 0.000 2.263
Ni 0.880 0.000 5.769
Pt 1.539 3.939 4.101
Pt 1.539 -3.939 4.101
```

## Properties
D(E_F): 12.83 states/eV/cell
VASP energy: -59.89 eV per formula unit
space group: Cm (8)

***

| no. | total moment (μB per cell) |
| --- | --- |
| 1 | 0.00 |
| 2 | 0.00 |